A relaxed structure of Ca2CuRh. Source: Alexandria, functional GGA-PBEsol.

## Properties
Calculated volume: 21.99 A^3/atom
ΔH_f (0 K): -0.2115 eV per atom
Total DFT energy (no corrections): -4.3963 eV/atom
Density of states at the Fermi level: 3.45 states/eV/cell

Cell lengths 4.161, 4.065, 10.401 Å; angles 90.00, 90.00, 90.00 degrees
Space group Amm2 (No. 38)
Symmetry-distinct sites (fractional):
Ca (0.000, 0.000, 0.000) [2 per cell]
Ca (0.500, 0.000, 0.284) [2 per cell]
Cu (0.500, 0.000, 0.581) [2 per cell]
Rh (0.000, 0.000, 0.705) [2 per cell]